1.
# TlOs2Cl PBE relaxed
# energy relative to the elements, uncorrected	0.5582	eV per atom
# density of states at the Fermi level	3.247	states/eV/f.u.
# volume	23.27	Å³/atom
# calculated density	11.1	Mg/m³
data_TlOs2Cl
_space_group_name_H-M_alt 'C 1 m 1'
_space_group_IT_number 8
_space_group_name_Hall 'C -2y'
_cell_length_a 7.771
_cell_length_b 2.871
_cell_length_c 8.648
_cell_angle_alpha 90.00
_cell_angle_beta 105.24
_cell_angle_gamma 90.00
loop_
_atom_site_label
_atom_site_type_symbol
_atom_site_fract_x
_atom_site_fract_y
_atom_site_fract_z
Tl1 Tl 0.000 0.000 0.000
Os1 Os 0.057 0.500 0.396
Os2 Os 0.288 0.500 0.264
Cl1 Cl 0.160 0.000 0.632


2.
# TlOsCl2 PBE relaxed
# energy relative to the elements, uncorrected	0.4110	eV per atom
# density of states at the Fermi level	2.970	states/eV/f.u.
# volume	23.44	Å³/atom
# calculated density	8.2	Mg/m³
data_TlOsCl2
_space_group_name_H-M_alt 'C m m 2'
_space_group_IT_number 35
_space_group_name_Hall 'C 2 -2'
_cell_length_a 3.329
_cell_length_b 6.078
_cell_length_c 9.266
_cell_angle_alpha 90.00
_cell_angle_beta 90.00
_cell_angle_gamma 90.00
loop_
_atom_site_label
_atom_site_type_symbol
_atom_site_fract_x
_atom_site_fract_y
_atom_site_fract_z
Tl1 Tl 0.000 0.000 0.000
Os1 Os 0.000 0.500 0.763
Cl1 Cl 0.000 0.000 0.589
Cl2 Cl 0.000 0.500 0.223


3.
# TlOs2Cl PBE relaxed
# energy relative to the elements, uncorrected	1.2161	eV per atom
# density of states at the Fermi level	3.370	states/eV/f.u.
# volume	16.64	Å³/atom
# calculated density	15.5	Mg/m³
data_TlOs2Cl
_space_group_name_H-M_alt 'R -3 m'
_space_group_IT_number 166
_space_group_name_Hall '-R 3 2"'
_cell_length_a 2.9775
_cell_length_b 2.9775
_cell_length_c 26.0102
_cell_angle_alpha 90.00
_cell_angle_beta 90.00
_cell_angle_gamma 120.00
loop_
_atom_site_label
_atom_site_type_symbol
_atom_site_fract_x
_atom_site_fract_y
_atom_site_fract_z
Tl1 Tl 0.0000 0.0000 0.0000
Os1 Os 0.0000 0.0000 0.2442
Cl1 Cl 0.0000 0.0000 0.5000


4.
# TlOsCl2 PBE relaxed
# energy relative to the elements, uncorrected	0.5783	eV per atom
# density of states at the Fermi level	2.695	states/eV/f.u.
# volume	21.93	Å³/atom
# calculated density	8.8	Mg/m³
data_TlOsCl2
_space_group_name_H-M_alt 'P 4 m m'
_space_group_IT_number 99
_space_group_name_Hall 'P 4 -2'
_cell_length_a 3.241
_cell_length_b 3.241
_cell_length_c 8.349
_cell_angle_alpha 90.00
_cell_angle_beta 90.00
_cell_angle_gamma 90.00
loop_
_atom_site_label
_atom_site_type_symbol
_atom_site_fract_x
_atom_site_fract_y
_atom_site_fract_z
Tl1 Tl 0.000 0.000 0.000
Os1 Os 0.500 0.500 0.694
Cl1 Cl 0.000 0.000 0.587
Cl2 Cl 0.500 0.500 0.221


5.
# TlOs2Cl PBE relaxed
# energy relative to the elements, uncorrected	1.0617	eV per atom
# density of states at the Fermi level	2.349	states/eV/f.u.
# volume	18.39	Å³/atom
# calculated density	14.0	Mg/m³
data_TlOs2Cl
_space_group_name_H-M_alt 'C 1 2/m 1'
_space_group_IT_number 12
_space_group_name_Hall '-C 2y'
_cell_length_a 10.915
_cell_length_b 2.927
_cell_length_c 4.627
_cell_angle_alpha 90.00
_cell_angle_beta 95.66
_cell_angle_gamma 90.00
loop_
_atom_site_label
_atom_site_type_symbol
_atom_site_fract_x
_atom_site_fract_y
_atom_site_fract_z
Tl1 Tl 0.000 0.000 0.000
Os1 Os 0.214 0.500 0.213
Cl1 Cl 0.000 0.500 0.500


6.
# Tl3OsCl6 PBE relaxed
# energy relative to the elements, uncorrected	-0.7185	eV per atom
# density of states at the Fermi level	8.230	states/eV/f.u.
# volume	29.95	Å³/atom
# calculated density	5.6	Mg/m³
data_Tl3OsCl6
_space_group_name_H-M_alt 'P 1 21/c 1'
_space_group_IT_number 14
_space_group_name_Hall '-P 2ybc'
_cell_length_a 7.130
_cell_length_b 7.950
_cell_length_c 12.578
_cell_angle_alpha 90.00
_cell_angle_beta 122.85
_cell_angle_gamma 90.00
loop_
_atom_site_label
_atom_site_type_symbol
_atom_site_fract_x
_atom_site_fract_y
_atom_site_fract_z
Tl1 Tl 0.000 0.000 0.000
Tl2 Tl 0.216 0.069 0.743
Os1 Os 0.500 0.000 0.500
Cl1 Cl 0.187 0.155 0.468
Cl2 Cl 0.284 0.749 0.438
Cl3 Cl 0.388 0.049 0.287